Sr2InAg: relaxed, GGA-PBE.

a = 3.8781 Å, b = 5.5692 Å, c = 12.3586 Å
α = 89.95°, β = 98.99°, γ = 90.00°
Closest atoms and distances in Å follow each position.
Element x y z (fractional)
In 0.3353 0.2500 0.6695  7 Sr 3.37-3.53, 2 Ag 3.52-3.53
Ag 0.5765 0.2511 0.1536  8 Sr 3.38-3.70, 2 In 3.52-3.53
Sr 0.8104 0.7499 0.6196  2 Ag 3.38, 5 In 3.45-3.53
Sr 0.1896 0.2501 0.3804  2 Ag 3.38, 5 In 3.45-3.53
Ag 0.4235 0.7489 0.8464  8 Sr 3.38-3.70, 2 In 3.52-3.53
In 0.6647 0.7500 0.3305  7 Sr 3.37-3.53, 2 Ag 3.52-3.53
Sr 0.0519 0.7506 0.1042  2 In 3.37-3.38, 6 Ag 3.44-3.70, 2 Sr 3.76-3.78
Sr 0.9481 0.2494 0.8958  2 In 3.37-3.38, 6 Ag 3.44-3.70, 2 Sr 3.76-3.78

## Properties
Total moment in μB/cell: 0.00
Symmetry: P-1
E_form in eV/atom: -0.276